## BW3N5 (PBE)

Data for BW3N5 after structural relaxation.

Cell lengths 9.608, 12.591, 2.967 Å; angles 90.00, 90.00, 90.00 degrees
Space group Pbam (No. 55)
One atom of each set of equivalent atoms:
B (0.222, 0.156, 0.000)
W (0.000, 0.000, 0.500)
W (0.000, 0.500, 0.000)
W (0.013, 0.313, 0.500)
W (0.203, 0.903, 0.000)
N (0.083, 0.836, 0.500)
N (0.127, 0.646, 0.000)
N (0.143, 0.057, 0.000)
N (0.145, 0.444, 0.500)
N (0.160, 0.260, 0.000)

## Properties
- Crystal system: orthorhombic
- Size of the total moment: 0.0 μB/f.u.
- Volume: 89.7 Å³/f.u.
- Total energy: -10.0789 eV per atom

=====

## B3W2N6 (PBE)

Data for B3W2N6 after structural relaxation.

Cell lengths 2.7501, 2.7501, 14.5605 Å; angles 90.00, 90.00, 120.00 degrees
Space group P3m1 (No. 156)
One atom of each set of equivalent atoms:
B (0.0000, 0.0000, 0.0000)
B (0.0000, 0.0000, 0.4603)
B (0.6667, 0.3333, 0.8517)
W (0.3333, 0.6667, 0.6566)
W (0.6667, 0.3333, 0.2808)
N (0.0000, 0.0000, 0.2001)
N (0.0000, 0.0000, 0.5654)
N (0.0000, 0.0000, 0.8846)
N (0.6667, 0.3333, 0.0215)
N (0.6667, 0.3333, 0.4276)
N (0.6667, 0.3333, 0.7475)

## Properties
- Crystal system: trigonal
- Size of the total moment: 0.8 μB/f.u.
- Volume: 95.4 Å³/f.u.
- Total energy: -9.0074 eV per atom

=====

## BW2N4 (PBE)

Data for BW2N4 after structural relaxation.

Cell lengths 5.7098, 5.7098, 4.8115 Å; angles 90.00, 90.00, 120.00 degrees
Space group P-3m1 (No. 164)
One atom of each set of equivalent atoms:
B (0.3333, 0.6667, 0.0808)
W (0.0000, 0.0000, 0.0000)
W (0.0000, 0.5000, 0.5000)
N (0.1789, 0.3578, 0.2205)
N (0.3333, 0.6667, 0.7732)

## Properties
- Crystal system: trigonal
- Size of the total moment: 0.5 μB/f.u.
- Volume: 67.9 Å³/f.u.
- Total energy: -9.6720 eV per atom

=====

## B2W4N11 (PBE)

Data for B2W4N11 after structural relaxation.

Cell lengths 5.037, 6.310, 6.387 Å; angles 107.42, 99.91, 105.12 degrees
Space group P-1 (No. 2)
One atom of each set of equivalent atoms:
B (0.164, 0.383, 0.172)
W (0.191, 0.291, 0.637)
W (0.374, 0.953, 0.242)
N (0.043, 0.238, 0.912)
N (0.070, 0.539, 0.737)
N (0.237, 0.946, 0.550)
N (0.259, 0.241, 0.317)
N (0.408, 0.615, 0.220)
N (0.500, 0.000, 0.000)

## Properties
- Crystal system: triclinic
- Size of the total moment: 1.0 μB/f.u.
- Volume: 180.0 Å³/f.u.
- Total energy: -9.2326 eV per atom

=====

## BW2N4 (PBE)

Data for BW2N4 after structural relaxation.

Cell lengths 8.033, 8.033, 8.033 Å; angles 90.00, 90.00, 90.00 degrees
Space group Fd-3m (No. 227, origin choice 2)
One atom of each set of equivalent atoms:
B (0.125, 0.125, 0.125)
W (0.000, 0.000, 0.500)
N (0.011, 0.011, 0.239)

## Properties
- Crystal system: cubic
- Size of the total moment: 0.0 μB/f.u.
- Volume: 64.8 Å³/f.u.
- Total energy: -9.8161 eV per atom

=====

## B4W3N8 (PBE)

Data for B4W3N8 after structural relaxation.

Cell lengths 2.7752, 2.7752, 58.8492 Å; angles 90.00, 90.00, 120.00 degrees
Space group R3m (No. 160, hexagonal axes)
One atom of each set of equivalent atoms:
B (0.0000, 0.0000, 0.0000)
B (0.0000, 0.0000, 0.1673)
B (0.0000, 0.0000, 0.3689)
B (0.0000, 0.0000, 0.7985)
W (0.0000, 0.0000, 0.0837)
W (0.0000, 0.0000, 0.2886)
W (0.0000, 0.0000, 0.8786)
N (0.0000, 0.0000, 0.0266)
N (0.0000, 0.0000, 0.1407)
N (0.0000, 0.0000, 0.2310)
N (0.0000, 0.0000, 0.3246)
N (0.0000, 0.0000, 0.3944)
N (0.0000, 0.0000, 0.7729)
N (0.0000, 0.0000, 0.8426)
N (0.0000, 0.0000, 0.9361)

## Properties
- Crystal system: trigonal
- Size of the total moment: 0.0 μB/f.u.
- Volume: 130.8 Å³/f.u.
- Total energy: -9.1495 eV per atom

=====

## BW5N8 (PBE)

Data for BW5N8 after structural relaxation.

Cell lengths 8.346, 8.346, 8.346 Å; angles 90.00, 90.00, 90.00 degrees
Space group F-43m (No. 216)
One atom of each set of equivalent atoms:
B (0.000, 0.000, 0.000)
W (0.137, 0.137, 0.637)
W (0.250, 0.250, 0.250)
N (0.112, 0.112, 0.888)
N (0.120, 0.120, 0.380)

## Properties
- Crystal system: cubic
- Size of the total moment: 1.3 μB/f.u.
- Volume: 145.3 Å³/f.u.
- Total energy: -10.1699 eV per atom

=====

## BW2N4 (PBE)

Data for BW2N4 after structural relaxation.

Cell lengths 5.677, 5.677, 8.071 Å; angles 90.00, 90.00, 90.00 degrees
Space group P4_12_12 (No. 92)
One atom of each set of equivalent atoms:
B (0.245, 0.245, 0.000)
W (0.012, 0.252, 0.386)
N (0.016, 0.244, 0.115)
N (0.028, 0.743, 0.137)

## Properties
- Crystal system: tetragonal
- Size of the total moment: 0.0 μB/f.u.
- Volume: 65.0 Å³/f.u.
- Total energy: -9.8273 eV per atom

=====

## BW2N4 (PBE)

Data for BW2N4 after structural relaxation.

Cell lengths 2.8622, 2.8622, 34.1147 Å; angles 90.00, 90.00, 120.00 degrees
Space group R3m (No. 160, hexagonal axes)
One atom of each set of equivalent atoms:
B (0.0000, 0.0000, 0.0000)
W (0.0000, 0.0000, 0.5402)
W (0.0000, 0.0000, 0.7767)
N (0.0000, 0.0000, 0.0765)
N (0.0000, 0.0000, 0.4822)
N (0.0000, 0.0000, 0.6657)
N (0.0000, 0.0000, 0.9035)

## Properties
- Crystal system: trigonal
- Size of the total moment: 0.0 μB/f.u.
- Volume: 80.7 Å³/f.u.
- Total energy: -9.4143 eV per atom

=====

## BW5N8 (PBE)

Data for BW5N8 after structural relaxation.

Cell lengths 6.2636, 6.2636, 8.7788 Å; angles 90.00, 90.00, 120.00 degrees
Space group P6_3mc (No. 186)
One atom of each set of equivalent atoms:
B (0.0000, 0.0000, 0.0000)
W (0.1497, 0.2994, 0.1770)
W (0.3333, 0.6667, 0.5472)
W (0.3333, 0.6667, 0.9057)
N (0.0000, 0.0000, 0.3411)
N (0.0355, 0.5178, 0.0293)
N (0.2022, 0.4043, 0.7380)
N (0.3333, 0.6667, 0.3139)

## Properties
- Crystal system: hexagonal
- Size of the total moment: 0.8 μB/f.u.
- Volume: 149.1 Å³/f.u.
- Total energy: -9.8918 eV per atom

=====

## BW5N9 (PBE)

Data for BW5N9 after structural relaxation.

Cell lengths 5.944, 16.075, 8.475 Å; angles 90.00, 90.00, 90.00 degrees
Space group Cmc2_1 (No. 36)
One atom of each set of equivalent atoms:
B (0.000, 0.013, 0.000)
W (0.000, 0.251, 0.577)
W (0.000, 0.309, 0.886)
W (0.000, 0.451, 0.528)
W (0.234, 0.122, 0.728)
N (0.000, 0.044, 0.632)
N (0.000, 0.197, 0.827)
N (0.000, 0.326, 0.360)
N (0.000, 0.364, 0.685)
N (0.000, 0.456, 0.146)
N (0.211, 0.043, 0.928)
N (0.244, 0.179, 0.509)

## Properties
- Crystal system: orthorhombic
- Size of the total moment: 0.0 μB/f.u.
- Volume: 202.4 Å³/f.u.
- Total energy: -10.0443 eV per atom

=====

## B2W5N6 (PBE)

Data for B2W5N6 after structural relaxation.

Cell lengths 3.1682, 3.1682, 15.3629 Å; angles 90.00, 90.00, 120.00 degrees
Space group P-3m1 (No. 164)
One atom of each set of equivalent atoms:
B (0.3333, 0.6667, 0.0252)
W (0.0000, 0.0000, 0.5000)
W (0.3333, 0.6667, 0.3301)
W (0.3333, 0.6667, 0.8071)
N (0.0000, 0.0000, 0.2769)
N (0.3333, 0.6667, 0.1225)
N (0.3333, 0.6667, 0.5777)

## Properties
- Crystal system: trigonal
- Size of the total moment: 0.0 μB/f.u.
- Volume: 133.5 Å³/f.u.
- Total energy: -9.6842 eV per atom